Material: Fe2CoOs
Method: DFT, GGA-PBEsol
State: relaxed

```
Fe2CoOs
1.0
0.000 2.852 2.852
2.852 0.000 2.852
2.852 2.852 0.000
Fe Co Os
2 1 1
Direct
0.000 0.000 0.000
0.250 0.250 0.250
0.500 0.500 0.500
0.750 0.750 0.750
```

Results
Calculated total energy in eV per atom: -9.22
Energy of formation from the pure elements in eV per atom: 0.25

=====

Material: LuAsO4
Method: DFT, GGA-PBEsol
State: relaxed

```
LuAsO4
1.0
-3.459 3.459 3.104
3.459 -3.459 3.104
3.459 3.459 -3.104
Lu As O
2 2 8
Direct
0.375 0.625 0.750
0.625 0.375 0.250
0.125 0.875 0.250
0.875 0.125 0.750
0.127 0.693 0.435
0.242 0.307 0.935
0.307 0.242 0.435
0.307 0.873 0.065
0.693 0.127 0.935
0.693 0.758 0.565
0.758 0.693 0.065
0.873 0.307 0.565
```

Results
Calculated total energy in eV per atom: -7.59
E_form (uncorrected) in meV/atom: -2428

=====

Material: PmF3
Method: DFT, GGA-PBEsol
State: relaxed

```
PmF3
1.0
-1.846 1.846 3.235
1.846 -1.846 3.235
1.846 1.846 -3.235
Pm F
1 3
Direct
0.000 0.000 0.000
0.250 0.750 0.500
0.500 0.500 0.000
0.750 0.250 0.500
```

Results
Calculated total energy in eV per atom: -6.70
E_form (uncorrected) in meV/atom: -3972

=====

Material: CsZnO2
Method: DFT, GGA-PBEsol
State: relaxed

```
CsZnO2
1.0
-2.603 2.603 5.460
2.603 -2.603 5.460
2.603 2.603 -5.460
Cs Zn O
2 2 4
Direct
0.375 0.625 0.750
0.625 0.375 0.250
0.125 0.875 0.250
0.875 0.125 0.750
0.000 0.000 0.000
0.000 0.000 0.500
0.000 0.500 0.000
0.500 0.000 0.500
```

Results
Calculated total energy in eV per atom: -4.28
E_form (uncorrected) in meV/atom: -1028

=====

Material: LiNbN2
Method: DFT, GGA-PBEsol
State: relaxed

```
LiNbN2
1.0
6.094 0.000 0.000
0.000 4.220 0.000
0.000 0.000 7.326
Li Nb N
4 4 8
Direct
0.075 0.250 0.109
0.425 0.750 0.609
0.575 0.250 0.391
0.925 0.750 0.891
0.082 0.250 0.634
0.418 0.750 0.134
0.582 0.250 0.866
0.918 0.750 0.366
0.080 0.750 0.605
0.090 0.750 0.144
0.410 0.250 0.644
0.420 0.250 0.105
0.580 0.750 0.895
0.590 0.750 0.356
0.910 0.250 0.856
0.920 0.250 0.395
```

Results
Calculated total energy in eV per atom: -8.45
Energy relative to the lowest polymorph listed for this composition in meV/atom: 0.0
E_form (uncorrected) in meV/atom: -989

=====

Material: ScRhAu2
Method: DFT, GGA-PBEsol
State: relaxed

```
ScRhAu2
1.0
-1.946 1.946 4.275
1.946 -1.946 4.275
1.946 1.946 -4.275
Sc Rh Au
1 1 2
Direct
0.000 0.000 0.000
0.500 0.500 0.000
0.250 0.750 0.500
0.750 0.250 0.500
```

Results
Calculated total energy in eV per atom: -6.30
Energy of formation from the pure elements in eV per atom: -0.65

=====

Material: TcTePt
Method: DFT, GGA-PBEsol
State: relaxed

```
TcTePt
1.0
-1.498 1.498 5.963
1.498 -1.498 5.963
1.498 1.498 -5.963
Tc Te Pt
1 1 1
Direct
0.000 0.000 0.000
0.645 0.645 0.000
0.357 0.357 0.000
```

Results
Calculated total energy in eV per atom: -6.93
Energy relative to the lowest polymorph listed for this composition in meV/atom: 0.0
E_form (uncorrected) in meV/atom: 321

=====

Material: BaZrTc
Method: DFT, GGA-PBEsol
State: relaxed

```
BaZrTc
1.0
-1.704 1.704 6.643
1.704 -1.704 6.643
1.704 1.704 -6.643
Ba Zr Tc
1 1 1
Direct
0.000 0.000 0.000
0.736 0.736 0.000
0.327 0.327 0.000
```

Results
Calculated total energy in eV per atom: -7.12
Energy of formation from the pure elements in eV per atom: 0.38

=====

Question: Which value of calculated total energy does entry 1 give?
Answer: -9.22 eV per atom

=====

Question: Which formula does entry 4 have?
Answer: CsZnO2